Record 1
The following is a PBE calculation of a relaxed HgSe3N crystal, from Alexandria via LeMat-Bulk.

## Properties
* V: 18.70 Å³ per atom
* formation energy from raw total energies: 924 meV/atom

```
5
Lattice="4.5384 0.0000 0.0000 0.0000 4.5384 0.0000 0.0000 0.0000 4.5384" Properties=species:S:1:pos:R:3 pbc="T T T"
Hg 0.0000 0.0000 0.0000
Se 0.0000 2.2692 2.2692
Se 2.2692 0.0000 2.2692
Se 2.2692 2.2692 0.0000
N 2.2692 2.2692 2.2692
```

=====

Record 2
The following is a PBE calculation of a relaxed Cs2ThGaSe4 crystal, from Alexandria via LeMat-Bulk.

## Properties
* V: 44.59 Å³ per atom
* formation energy from raw total energies: -1087 meV/atom

```
16
Lattice="0.0000 7.6851 13.4237 3.4579 0.0000 13.4237 3.4579 7.6851 0.0000" Properties=species:S:1:pos:R:3 pbc="T T T"
Cs 2.5934 5.7638 1.4928
Cs 4.3224 9.6064 8.2047
Cs 2.5934 5.7638 18.6427
Cs 4.3224 9.6064 25.3546
Th 0.8645 1.9213 3.3559
Th 6.0514 13.4489 23.4915
Ga 2.5934 5.7638 10.0678
Ga 4.3224 9.6064 16.7796
Se 4.1519 4.2796 8.6889
Se 4.1519 7.2481 11.4466
Se 5.8809 8.1221 18.1585
Se 5.8809 11.0906 15.4008
Se 1.0350 4.2796 11.4466
Se 1.0350 7.2481 8.6889
Se 2.7639 8.1221 15.4008
Se 2.7639 11.0906 18.1585
```

=====

Record 3
The following is a PBE calculation of a relaxed AlNi2Ag crystal, from Alexandria via LeMat-Bulk.

## Properties
* V: 13.19 Å³ per atom
* DFT formation energy: -0.254 eV/atom

```
4
Lattice="2.8139 0.0000 0.0000 0.0000 2.8139 0.0000 0.0000 0.0000 6.6617" Properties=species:S:1:pos:R:3 pbc="T T T"
Al 0.0000 0.0000 0.0000
Ni 1.4070 1.4070 1.4458
Ni 1.4070 1.4070 5.2158
Ag 0.0000 0.0000 3.3308
```

=====

Record 4
The following is a PBE calculation of a relaxed LiYCd17 crystal, from Alexandria via LeMat-Bulk.

## Properties
* V: 23.04 Å³ per atom
* DFT formation energy: -0.062 eV/atom

```
19
Lattice="4.9891 2.8805 5.0776 -4.9891 2.8805 5.0776 0.0000 -5.7610 5.0776" Properties=species:S:1:pos:R:3 pbc="T T T"
Li 0.0000 0.0000 0.0000
Y 0.0000 0.0000 5.5148
Cd 0.0000 -3.1751 3.3333
Cd -2.7497 1.5876 3.3333
Cd -2.1639 -1.2493 7.8808
Cd 0.0000 -3.7662 7.6869
Cd -3.2616 1.8831 7.6869
Cd -1.5323 -2.6329 10.5492
Cd -3.0463 -0.0106 10.5492
Cd 2.7497 1.5875 3.3333
Cd 0.0000 0.0000 9.2289
Cd 2.1639 -1.2493 7.8808
Cd 0.0000 2.4987 7.8808
Cd 1.5323 -2.6329 10.5492
Cd -1.5140 2.6434 10.5492
Cd 0.0000 0.0000 12.1199
Cd 3.2616 1.8831 7.6869
Cd 3.0463 -0.0106 10.5492
Cd 1.5140 2.6434 10.5492
```

=====

Number 1: mass density 8.0 g cm⁻³, total moment 0.00 μB/f.u., total energy -2.8926 eV/atom. Number 2: mass density 4.1 g cm⁻³, total moment 0.00 μB/f.u., total energy -4.3481 eV/atom. Number 3: mass density 7.9 g cm⁻³, total moment 0.00 μB/f.u., total energy -4.7928 eV/atom. Number 4: mass density 7.6 g cm⁻³, total moment 0.00 μB/f.u., total energy -1.3214 eV/atom.